Record 1
AlPRh2: PBEsol geometry, SCAN.

Volume, Å³/f.u.: 56
Total energy, eV per atom: -21.81
Polymorph energy (0 for the lowest one), kcal/mol of atoms: 0.000
Energy relative to the elements, eV/atom: -0.3875

extended XYZ file:
```
8
Lattice="5.001 0.000 0.000 0.000 2.885 0.000 -1.679 0.000 7.694" Properties=species:S:1:pos:R:3 pbc="T T T"
Al 0.000 0.000 0.000
Al 2.501 1.443 0.000
P 0.827 1.443 2.033
P 3.328 0.000 2.033
Rh -0.013 0.000 5.887
Rh 1.662 0.000 3.617
Rh 2.488 1.443 5.887
Rh 4.163 1.443 3.617
```

Record 2
Zn2SeCl2O3: PBEsol geometry, SCAN.

Volume, Å³/f.u.: 147
E_form (uncorrected), eV/atom: -1.244
Total energy, eV per atom: -11.46
Polymorph energy (0 for the lowest one), kcal/mol of atoms: 0.000

extended XYZ file:
```
64
Lattice="10.265 0.000 0.000 0.000 15.118 0.000 0.000 0.000 7.578" Properties=species:S:1:pos:R:3 pbc="T T T"
Zn 0.039 1.737 1.181
Zn 0.039 5.822 4.970
Zn 2.332 7.929 0.759
Zn 2.332 14.748 4.548
Zn 2.800 7.929 4.548
Zn 2.800 14.748 0.759
Zn 5.093 1.737 4.970
Zn 5.093 5.822 1.181
Zn 5.172 9.296 6.397
Zn 5.172 13.381 2.608
Zn 7.465 0.370 6.819
Zn 7.465 7.189 3.030
Zn 7.933 0.370 3.030
Zn 7.933 7.189 6.819
Zn 10.225 9.296 2.608
Zn 10.225 13.381 6.397
Se 0.385 8.975 5.892
Se 0.385 13.702 2.103
Se 4.747 8.975 2.103
Se 4.747 13.702 5.892
Se 5.517 1.416 1.686
Se 5.517 6.143 5.475
Se 9.880 1.416 5.475
Se 9.880 6.143 1.686
Cl 0.875 10.664 1.168
Cl 0.875 12.014 4.957
Cl 2.180 1.887 0.520
Cl 2.180 5.672 4.309
Cl 2.952 1.887 4.309
Cl 2.952 5.672 0.520
Cl 4.257 10.664 4.957
Cl 4.257 12.014 1.168
Cl 6.007 3.105 6.410
Cl 6.007 4.455 2.621
Cl 7.313 9.446 7.058
Cl 7.313 13.231 3.269
Cl 8.084 9.446 3.269
Cl 8.084 13.231 7.058
Cl 9.390 3.105 2.621
Cl 9.390 4.455 6.410
O 0.508 7.646 1.560
O 0.508 15.031 5.349
O 0.938 8.835 4.258
O 0.938 13.843 0.469
O 1.928 8.424 6.444
O 1.928 14.254 2.654
O 3.205 8.424 2.654
O 3.205 14.254 6.444
O 4.195 8.835 0.469
O 4.195 13.843 4.258
O 4.624 7.646 5.349
O 4.624 15.031 1.560
O 5.641 0.087 6.019
O 5.641 7.472 2.230
O 6.070 1.275 3.320
O 6.070 6.284 7.109
O 7.060 0.864 1.135
O 7.060 6.695 4.924
O 8.337 0.864 4.924
O 8.337 6.695 1.135
O 9.327 1.275 7.109
O 9.327 6.284 3.320
O 9.756 0.087 2.230
O 9.756 7.472 6.019
```

Record 3
TcTeRh: PBEsol geometry, SCAN.

Volume, Å³/f.u.: 55
E_form (uncorrected), eV/atom: 0.110
Total energy, eV per atom: -35.25
Polymorph energy (0 for the lowest one), kcal/mol of atoms: 0.000

extended XYZ file:
```
12
Lattice="6.051 0.000 0.000 0.000 6.051 0.000 0.000 0.000 6.051" Properties=species:S:1:pos:R:3 pbc="T T T"
Tc 0.000 0.000 0.000
Tc 0.000 3.026 3.026
Tc 3.026 0.000 3.026
Tc 3.026 3.026 0.000
Te 1.513 1.513 4.538
Te 1.513 4.538 1.513
Te 4.538 1.513 1.513
Te 4.538 4.538 4.538
Rh 1.513 1.513 1.513
Rh 1.513 4.538 4.538
Rh 4.538 1.513 4.538
Rh 4.538 4.538 1.513
```

Record 4
MoBr: PBEsol geometry, SCAN.

Volume, Å³/f.u.: 47
E_form (uncorrected), eV/atom: 0.383
Total energy, eV per atom: -26.79
Polymorph energy (0 for the lowest one), kcal/mol of atoms: 7.491

extended XYZ file:
```
8
Lattice="8.397 0.000 0.000 0.000 3.366 0.000 -1.240 0.000 6.602" Properties=species:S:1:pos:R:3 pbc="T T T"
Mo 0.735 0.000 3.002
Mo 2.223 1.683 3.600
Mo 4.933 1.683 3.002
Mo 6.422 0.000 3.600
Br -0.109 1.683 5.157
Br 3.068 0.000 1.445
Br 4.089 0.000 5.157
Br 7.266 1.683 1.445
```

Record 5
YZr4Pt: PBEsol geometry, SCAN.

Volume, Å³/f.u.: 130
Total energy, eV per atom: -36.68
Energy relative to the elements, eV/atom: 0.1256

extended XYZ file:
```
6
Lattice="0.000 4.018 4.018 4.018 0.000 4.018 4.018 4.018 0.000" Properties=species:S:1:pos:R:3 pbc="T T T"
Y 0.000 0.000 0.000
Zr 5.023 3.014 3.014
Zr 3.014 5.023 3.014
Zr 3.014 3.014 5.023
Zr 5.023 5.023 5.023
Pt 2.009 2.009 2.009
```

Record 6
K2ZrO3: PBEsol geometry, SCAN.

Volume, Å³/f.u.: 105
E_form (uncorrected), eV/atom: -2.724
Total energy, eV per atom: -13.73

extended XYZ file:
```
24
Lattice="5.850 0.000 0.000 0.000 10.421 0.000 0.000 0.000 6.917" Properties=species:S:1:pos:R:3 pbc="T T T"
K 1.370 0.891 0.780
K 1.370 4.320 0.780
K 1.555 6.101 4.238
K 1.555 9.530 4.238
K 4.295 0.891 2.678
K 4.295 4.320 2.678
K 4.480 6.101 6.137
K 4.480 9.530 6.137
Zr 1.293 7.816 1.094
Zr 1.632 2.605 4.553
Zr 4.218 7.816 2.364
Zr 4.557 2.605 5.823
O 0.096 1.261 5.049
O 0.096 3.949 5.049
O 0.918 7.816 6.139
O 2.007 2.605 2.680
O 2.829 6.472 1.590
O 2.829 9.160 1.590
O 3.021 1.261 5.327
O 3.021 3.949 5.327
O 3.843 7.816 4.237
O 4.933 2.605 0.778
O 5.754 6.472 1.868
O 5.754 9.160 1.868
```

no.,total magnetic moment (Bohr magnetons per cell)
1,0.00
2,0.00
3,0.00
4,0.00
5,0.00
6,0.00